1.
PmHo2ErTl4: optimized geometry, PBE.

abc: 9.3450 9.3450 9.3450
angles: 33.44 33.44 33.44
Last column: nearest neighbours and their distance in Å.
Fractional coordinates of all 8 atoms:
Pm (0.0000, 0.0000, 0.0000)  8 Tl 3.31-3.34
Ho (0.2493, 0.2493, 0.2493)  8 Tl 3.25-3.36
Ho (0.7507, 0.7507, 0.7507)  8 Tl 3.25-3.36
Er (0.5000, 0.5000, 0.5000)  8 Tl 3.27-3.28
Tl (0.1264, 0.1264, 0.1264)  4 Ho 3.25-3.30, 3 Er 3.28, 1 Pm 3.34
Tl (0.3765, 0.3765, 0.3765)  1 Er 3.27, 4 Ho 3.29-3.36, 3 Pm 3.31
Tl (0.6235, 0.6235, 0.6235)  1 Er 3.27, 4 Ho 3.29-3.36, 3 Pm 3.31
Tl (0.8736, 0.8736, 0.8736)  4 Ho 3.25-3.30, 3 Er 3.28, 1 Pm 3.34

Output
Energy of formation in eV per atom: -0.34

=====

2.
Ba2MnCuAg: optimized geometry, PBE.

abc: 6.3155 6.3155 5.0306
angles: 90.00 90.00 90.00
Last column: nearest neighbours and their distance in Å.
Fractional coordinates of all 5 atoms:
Ba (0.0000, 0.5000, 0.0000)  2 Ag 3.16
Ba (0.5000, 0.0000, 0.0000)  2 Ag 3.16
Mn (0.0000, 0.0000, 0.5000)  2 Ag 2.52
Cu (0.5000, 0.5000, 0.5000)  8 Ba 4.04, 4 Mn 4.47
Ag (0.0000, 0.0000, 0.0000)  2 Mn 2.52

Output
Energy of formation in eV per atom: 0.51

=====

3.
MgZnMo: optimized geometry, PBE.

abc: 7.0103 6.9021 2.7386
angles: 80.88 76.44 22.69
Last column: nearest neighbours and their distance in Å.
Fractional coordinates of all 3 atoms:
Mg (0.0000, 0.0000, 0.0000)  4 Mg 2.74, 2 Zn 2.87, 2 Mo 2.87
Zn (0.3289, 0.3289, 0.6711)  4 Mo 2.73-2.99, 4 Zn 2.74, 2 Mg 2.87
Mo (0.6711, 0.6711, 0.3289)  4 Zn 2.73-2.99, 4 Mo 2.74, 2 Mg 2.87

Output
E above lowest polymorph in kJ per mole of atoms: 6.0
Energy of formation in eV per atom: 0.17

=====

4.
Fe2AgIr: optimized geometry, PBE.

abc: 2.6739 2.6739 8.9423
angles: 90.00 90.00 114.56
Last column: nearest neighbours and their distance in Å.
Fractional coordinates of all 4 atoms:
Fe (0.0000, 0.0000, 0.2389)  2 Ir 2.58, 4 Fe 2.67, 2 Ag 2.75
Fe (0.0000, 0.0000, 0.7611)  2 Ir 2.58, 4 Fe 2.67, 2 Ag 2.75
Ag (0.5000, 0.5000, 0.5000)  6 Ag 2.67-2.89, 4 Fe 2.75
Ir (0.5000, 0.5000, 0.0000)  4 Fe 2.58, 4 Ir 2.67

Output
Energy of formation in eV per atom: 0.28

=====

5.
GdInGePd: optimized geometry, PBE.

abc: 4.9162 4.9162 4.9162
angles: 60.00 60.00 60.00
Last column: nearest neighbours and their distance in Å.
Fractional coordinates of all 4 atoms:
Gd (0.0000, 0.0000, 0.0000)  4 Ge 3.01, 4 Pd 3.01
In (0.5000, 0.5000, 0.5000)  4 Ge 3.01, 4 Pd 3.01
Ge (0.7500, 0.7500, 0.7500)  4 Gd 3.01, 4 In 3.01
Pd (0.2500, 0.2500, 0.2500)  4 In 3.01, 4 Gd 3.01

Output
Energy of formation in eV per atom: -0.55

=====

6.
NaGaPb: optimized geometry, PBE.

abc: 7.6981 5.0895 8.2895
angles: 90.00 90.00 90.00
Last column: nearest neighbours and their distance in Å.
Fractional coordinates of all 12 atoms:
Na (0.0068, 0.2500, 0.1929)  6 Ga 3.26-3.62, 6 Pb 3.41-3.59
Na (0.4932, 0.7500, 0.6929)  6 Ga 3.26-3.62, 6 Pb 3.41-3.59
Na (0.5068, 0.2500, 0.3071)  6 Ga 3.26-3.62, 6 Pb 3.41-3.59
Na (0.9932, 0.7500, 0.8071)  6 Ga 3.26-3.62, 6 Pb 3.41-3.59
Ga (0.1935, 0.7500, 0.4147)  4 Pb 2.87-2.92
Ga (0.3065, 0.2500, 0.9147)  4 Pb 2.87-2.92
Ga (0.6935, 0.7500, 0.0853)  4 Pb 2.87-2.92
Ga (0.8065, 0.2500, 0.5853)  4 Pb 2.87-2.92
Pb (0.1838, 0.2500, 0.5878)  4 Ga 2.87-2.92
Pb (0.3162, 0.7500, 0.0878)  4 Ga 2.87-2.92
Pb (0.6838, 0.2500, 0.9122)  4 Ga 2.87-2.92
Pb (0.8162, 0.7500, 0.4122)  4 Ga 2.87-2.92

Output
Energy of formation in eV per atom: -0.07

=====

7.
LiLa2Mg: optimized geometry, PBE.

abc: 3.4136 3.4136 10.9786
angles: 90.00 90.00 107.91
Last column: nearest neighbours and their distance in Å.
Fractional coordinates of all 4 atoms:
Li (0.0000, 0.0000, 0.0000)  4 La 3.40, 4 Li 3.41
La (0.5000, 0.5000, 0.2504)  2 Mg 3.40, 2 Li 3.40, 4 La 3.41
La (0.5000, 0.5000, 0.7496)  2 Mg 3.40, 2 Li 3.40, 4 La 3.41
Mg (0.0000, 0.0000, 0.5000)  4 La 3.40, 4 Mg 3.41

Output
E above lowest polymorph in kJ per mole of atoms: 9.1
Energy of formation in eV per atom: 0.09

=====

8.
Y2PuScTe4: optimized geometry, PBE.

abc: 7.5144 4.3109 7.5223
angles: 90.00 109.12 90.00
Last column: nearest neighbours and their distance in Å.
Fractional coordinates of all 8 atoms:
Y (0.0000, 0.0000, 0.0000)  6 Te 3.12-3.13
Y (0.5000, 0.5000, 0.0000)  6 Te 3.05
Pu (0.0000, 0.5000, 0.5000)  6 Te 3.08
Sc (0.5000, 0.0000, 0.5000)  6 Te 3.00-3.01
Te (0.2572, 0.0000, 0.7478)  1 Sc 3.00, 3 Y 3.05-3.12, 2 Pu 3.08
Te (0.2610, 0.5000, 0.2583)  2 Sc 3.01, 3 Y 3.05-3.13, 1 Pu 3.08
Te (0.7390, 0.5000, 0.7417)  2 Sc 3.01, 3 Y 3.05-3.13, 1 Pu 3.08
Te (0.7428, 0.0000, 0.2522)  1 Sc 3.00, 3 Y 3.05-3.12, 2 Pu 3.08

Output
Energy relative to the elements, uncorrected in eV/atom: -1.211

=====

DFT total energy for the records above, in order: -3.83; -3.48; -4.40; -6.88; -7.20; -2.76; -3.25; -6.98 eV per atom
Size of the total moment for the records above, in order: 0.00; 0.87; 0.00; 1.63; 1.77; 0.00; 0.00; 0.76 μB per atom
Density of states at the Fermi level for the records above, in order: 6.68; 4.77; 1.32; 3.47; 1.24; 0.80; 4.79; 12.00 states/eV/f.u.